[1]
VASP calculation (GGA-PBE) on an optimized crystal structure of LaCeCo.

Cell and atoms, written as POSCAR:
```
LaCeCo
1.0
4.232 0.000 0.000
-2.116 3.665 0.000
0.000 0.000 4.831
La Ce Co
1 1 1
direct
0.000 0.000 0.000
0.667 0.333 0.500
0.333 0.667 0.500
```

Crystal system   hexagonal
E above lowest polymorph   112 meV/atom

[2]
VASP calculation (GGA-PBE) on an optimized crystal structure of La2Ce2Co.

Cell and atoms, written as POSCAR:
```
La2Ce2Co
1.0
-3.249 7.427 2.876
3.249 -7.427 2.876
3.249 7.427 -2.876
La Ce Co
4 4 2
direct
0.177 0.175 0.352
0.323 0.675 0.998
0.677 0.325 0.002
0.823 0.825 0.648
0.057 0.680 0.737
0.443 0.180 0.623
0.557 0.820 0.377
0.943 0.320 0.263
0.250 0.250 0.000
0.750 0.750 0.000
```

Crystal system   orthorhombic

[3]
VASP calculation (GGA-PBE) on an optimized crystal structure of LaCeCo.

Cell and atoms, written as POSCAR:
```
LaCeCo
1.0
3.715 0.000 0.000
-1.835 4.368 0.000
-0.005 -0.289 9.794
La Ce Co
2 2 2
direct
0.138 0.270 0.354
0.862 0.730 0.646
0.143 0.284 0.879
0.857 0.716 0.121
0.402 0.806 0.887
0.598 0.194 0.113
```

Crystal system   triclinic
E above lowest polymorph   85 meV/atom

[4]
VASP calculation (GGA-PBE) on an optimized crystal structure of LaCeCo5Ni5.

Cell and atoms, written as POSCAR:
```
LaCeCo5Ni5
1.0
4.009 0.000 0.000
0.000 4.954 0.000
0.000 0.000 8.505
La Ce Co Ni
1 1 5 5
direct
0.000 0.000 0.000
0.000 0.500 0.500
0.000 0.000 0.344
0.000 0.000 0.656
0.000 0.500 0.167
0.000 0.500 0.833
0.500 0.500 0.000
0.500 0.000 0.500
0.500 0.252 0.253
0.500 0.252 0.747
0.500 0.748 0.253
0.500 0.748 0.747
```

Crystal system   orthorhombic

[5]
VASP calculation (GGA-PBE) on an optimized crystal structure of LaCeCoPd.

Cell and atoms, written as POSCAR:
```
LaCeCoPd
1.0
0.000 3.537 3.537
3.537 0.000 3.537
3.537 3.537 0.000
La Ce Co Pd
1 1 1 1
direct
0.000 0.000 0.000
0.500 0.500 0.500
0.250 0.250 0.250
0.750 0.750 0.750
```

Crystal system   cubic

[6]
VASP calculation (GGA-PBE) on an optimized crystal structure of LaCeCoPt.

Cell and atoms, written as POSCAR:
```
LaCeCoPt
1.0
0.000 3.540 3.540
3.540 0.000 3.540
3.540 3.540 0.000
La Ce Co Pt
1 1 1 1
direct
0.000 0.000 0.000
0.500 0.500 0.500
0.750 0.750 0.750
0.250 0.250 0.250
```

Crystal system   cubic

[7]
VASP calculation (GGA-PBE) on an optimized crystal structure of LaCeCoRh.

Cell and atoms, written as POSCAR:
```
LaCeCoRh
1.0
0.000 3.489 3.489
3.489 0.000 3.489
3.489 3.489 0.000
La Ce Co Rh
1 1 1 1
direct
0.000 0.000 0.000
0.500 0.500 0.500
0.750 0.750 0.750
0.250 0.250 0.250
```

Crystal system   cubic

[8]
VASP calculation (GGA-PBE) on an optimized crystal structure of LaCeCoRu.

Cell and atoms, written as POSCAR:
```
LaCeCoRu
1.0
0.000 3.481 3.481
3.481 0.000 3.481
3.481 3.481 0.000
La Ce Co Ru
1 1 1 1
direct
0.000 0.000 0.000
0.500 0.500 0.500
0.250 0.250 0.250
0.750 0.750 0.750
```

Crystal system   cubic

ΔH_f (0 K) list, top to bottom, in eV/atom: -0.0421, -0.0494, -0.0688, -0.1536, -0.3030, -0.4731, -0.3182, -0.0963